1.
DFT (PBE-GGA) results for a geometry-optimized LiAgPd structure.

Cell lengths 5.3079, 5.3079, 5.3079 Å; angles 146.59, 146.59, 47.97 degrees
Atoms (fractional coordinates):
Li 0.0000 0.0000 0.0000
Ag 0.6667 0.6667 0.0000
Pd 0.3564 0.3564 0.0000

Computed properties:
The calculation puts the density of states at the Fermi level at 0.194 states/eV/atom. For the volume, the calculation gives 15.0 Å³ per atom. The calculation puts the uncorrected energy at -3.57 eV/atom. The value obtained for the magnetic moment is 0.00 μB/f.u. The value obtained for the formation energy from the elements is -0.25 eV/atom.

=====

2.
DFT (PBE-GGA) results for a geometry-optimized ThMgCuIr structure.

Cell lengths 4.8271, 4.8271, 4.8271 Å; angles 60.00, 60.00, 60.00 degrees
Atoms (fractional coordinates):
Th 0.0000 0.0000 0.0000
Mg 0.5000 0.5000 0.5000
Cu 0.7500 0.7500 0.7500
Ir 0.2500 0.2500 0.2500

Computed properties:
The calculation puts the density of states at the Fermi level at 0.901 states/eV/atom. For the volume, the calculation gives 19.9 Å³ per atom. The calculation puts the uncorrected energy at -5.88 eV/atom. The value obtained for the magnetic moment is 0.00 μB/f.u. The value obtained for the formation energy from the elements is -0.38 eV/atom.

=====

3.
DFT (PBE-GGA) results for a geometry-optimized Mg3SiW structure.

Cell lengths 4.9314, 4.9314, 4.9314 Å; angles 90.00, 90.00, 90.00 degrees
Atoms (fractional coordinates):
Mg 0.0000 0.0000 0.5000
Mg 0.0000 0.5000 0.0000
Mg 0.5000 0.0000 0.0000
Si 0.0000 0.0000 0.0000
W 0.5000 0.5000 0.5000

Computed properties:
The calculation puts the density of states at the Fermi level at 0.452 states/eV/atom. The raw formation energy comes out at 1188 meV/atom. For the volume, the calculation gives 24.0 Å³ per atom. The calculation puts the uncorrected energy at -3.44 eV/atom. The value obtained for the magnetic moment is 4.00 μB/f.u.

=====

4.
DFT (PBE-GGA) results for a geometry-optimized SmErTm2Sc2 structure.

Cell lengths 5.8602, 17.4995, 3.4078 Å; angles 90.00, 90.00, 90.00 degrees
Atoms (fractional coordinates):
Sm 0.0000 0.0000 0.0000
Sm 0.5000 0.5000 0.5000
Er 0.0000 0.5000 0.0000
Er 0.5000 0.0000 0.5000
Tm 0.1642 0.3362 0.5000
Tm 0.3358 0.8362 0.0000
Tm 0.6642 0.1638 0.0000
Tm 0.8358 0.6638 0.5000
Sc 0.1651 0.1550 0.5000
Sc 0.3349 0.6550 0.0000
Sc 0.6651 0.3450 0.0000
Sc 0.8349 0.8450 0.5000

Computed properties:
The calculation puts the density of states at the Fermi level at 1.435 states/eV/atom. For the volume, the calculation gives 29.1 Å³ per atom. The calculation puts the uncorrected energy at -5.01 eV/atom. The value obtained for the magnetic moment is 0.00 μB/f.u. The value obtained for the formation energy from the elements is 0.14 eV/atom.

=====

5.
DFT (PBE-GGA) results for a geometry-optimized Ce5SbPb2 structure.

Cell lengths 6.5519, 12.3369, 5.7082 Å; angles 90.00, 90.00, 90.00 degrees
Atoms (fractional coordinates):
Ce 0.0000 0.0000 0.0000
Ce 0.1000 0.4060 0.5000
Ce 0.1879 0.7519 0.0000
Ce 0.3121 0.2519 0.0000
Ce 0.4000 0.9060 0.5000
Ce 0.5000 0.5000 0.0000
Ce 0.6000 0.0940 0.5000
Ce 0.6879 0.7481 0.0000
Ce 0.8121 0.2481 0.0000
Ce 0.9000 0.5940 0.5000
Sb 0.0000 0.5000 0.0000
Sb 0.5000 0.0000 0.0000
Pb 0.0921 0.1428 0.5000
Pb 0.4079 0.6428 0.5000
Pb 0.5921 0.3572 0.5000
Pb 0.9079 0.8572 0.5000

Computed properties:
The calculation puts the density of states at the Fermi level at 2.596 states/eV/atom. The raw formation energy comes out at -489 meV/atom. For the volume, the calculation gives 28.8 Å³ per atom. The calculation puts the uncorrected energy at -5.64 eV/atom. The value obtained for the magnetic moment is 4.48 μB/f.u.

=====

6.
DFT (PBE-GGA) results for a geometry-optimized Zr2BrCl structure.

Cell lengths 5.7360, 5.7360, 5.7360 Å; angles 148.45, 115.09, 73.97 degrees
Atoms (fractional coordinates):
Zr 0.2405 0.2405 0.0000
Zr 0.7595 0.7595 0.0000
Br 0.5000 0.0000 0.5000
Cl 0.0000 0.5000 0.5000

Computed properties:
The calculation puts the density of states at the Fermi level at 0.580 states/eV/atom. The raw formation energy comes out at -477 meV/atom. For the volume, the calculation gives 22.0 Å³ per atom. The calculation puts the uncorrected energy at -5.63 eV/atom. The value obtained for the magnetic moment is 0.00 μB/f.u.